1.
SrScB | PBE | relaxed

Unit cell a=6.4717 b=6.7089 c=3.9732 alpha=72.72 beta=89.89 gamma=67.86
Fractional coordinates of all 6 atoms:
Sc: 0.6398 0.7930 0.7728
Sc: 0.0712 0.6540 0.3408
Sr: 0.6247 0.3426 0.5009
Sr: 0.1708 0.1311 0.1036
B: 0.9949 0.8610 0.7376
B: 0.2673 0.7418 0.7967

Results
Energy above the lowest structure with this stoichiometry: 286 meV per atom
Total magnetization: 0.00 μB per cell
Space group: P1, No. 1

***

2.
Y2CuPb | PBE | relaxed

Unit cell a=4.7298 b=4.7298 c=10.8302 alpha=77.39 beta=77.39 gamma=90.00
Fractional coordinates of all 8 atoms:
Pb: 0.0000 0.0000 0.0000
Pb: 0.7500 0.2500 0.5000
Y: 0.6217 0.1250 0.2500
Y: 0.1283 0.6250 0.2500
Y: 0.3750 0.3783 0.7500
Y: 0.8750 0.8717 0.7500
Cu: 0.5000 0.5000 0.0000
Cu: 0.2500 0.7500 0.5000

Results
Total magnetization: 0.00 μB per cell
Space group: I-42d, No. 122
Calculated total energy: -4.897 eV/atom

***

3.
AlCo2H2 | PBE | relaxed

Unit cell a=2.7504 b=2.7504 c=5.3206 alpha=90.00 beta=90.00 gamma=90.00
Fractional coordinates of all 5 atoms:
Al: 0.0000 0.0000 0.0000
Co: 0.5000 0.5000 0.7220
Co: 0.5000 0.5000 0.2780
H: 0.5000 0.0000 0.5000
H: 0.0000 0.5000 0.5000

Results
Energy above the lowest structure with this stoichiometry: 62 meV per atom
Total magnetization: 0.00 μB per cell
Space group: P4/mmm, No. 123

***

4.
Na2LaW | PBE | relaxed

Unit cell a=4.1908 b=4.1908 c=12.7879 alpha=80.57 beta=80.57 gamma=90.00
Each line ends with the local moment (μB).
Fractional coordinates of all 8 atoms:
Na: 0.6494 0.1250 0.2500  -0.01
Na: 0.1006 0.6250 0.2500  -0.01
Na: 0.3750 0.3506 0.7500  -0.01
Na: 0.8750 0.8994 0.7500  -0.01
W: 0.0000 0.0000 0.0000  0.98
W: 0.7500 0.2500 0.5000  0.99
La: 0.5000 0.5000 0.0000  0.04
La: 0.2500 0.7500 0.5000  0.04

Results
Energy above the lowest structure with this stoichiometry: 0 meV per atom
Total magnetization: 2.47 μB per cell
Space group: I-42d, No. 122